{"formula": "BaSm2Zn", "functional": "PBE", "state": "relaxed", "cell": [[3.761, 0.000, 0.000], [0.000, 3.761, 0.000], [0.000, 0.000, 9.635]], "species": ["Ba", "Sm", "Sm", "Zn"], "frac_coords": [[0.000, 0.000, 0.000], [0.500, 0.500, 0.327], [0.500, 0.500, 0.673], [0.000, 0.000, 0.500]], "spacegroup": "P4/mmm", "formation_enthalpy_0k_ev_per_fu": -0.17, "e_above_lowest_polymorph_mev_per_atom": 0}

---

{"formula": "Y4TmNi2", "functional": "PBE", "state": "relaxed", "cell": [[7.504, 0.000, 0.000], [0.000, 6.368, 0.000], [-3.024, 0.000, 7.377]], "species": ["Y", "Y", "Y", "Y", "Y", "Y", "Y", "Y", "Tm", "Tm", "Ni", "Ni", "Ni", "Ni"], "frac_coords": [[0.029, 0.250, 0.387], [0.247, 0.750, 0.341], [0.408, 0.004, 0.770], [0.408, 0.496, 0.770], [0.592, 0.504, 0.230], [0.592, 0.996, 0.230], [0.753, 0.250, 0.659], [0.971, 0.750, 0.613], [0.152, 0.250, 0.031], [0.848, 0.750, 0.969], [0.247, 0.750, 0.992], [0.384, 0.250, 0.410], [0.616, 0.750, 0.590], [0.753, 0.250, 0.008]], "spacegroup": "P2_1/m", "formation_enthalpy_0k_ev_per_fu": -0.96}